The following is a GGA-PBE calculation of crystalline LiAl2Pt at its relaxed geometry, from the Alexandria database.

Results
Electronic total energy = -17.9 eV per cell
Energy of formation = -0.61 eV per atom
Mass density = 7.24 Mg/m³

Unit cell a=3.2196 b=3.2196 c=5.6641 alpha=90.00 beta=90.00 gamma=90.00
Space group P4/mmm (No. 123)
Symmetry-distinct sites (fractional):
1 Li 0.0000 0.0000 0.0000 (multiplicity 1)
2 Al 0.5000 0.5000 0.2522 (multiplicity 2)
3 Pt 0.0000 0.0000 0.5000 (multiplicity 1)

---

The following is a GGA-PBE calculation of crystalline RbLiPt2 at its relaxed geometry, from the Alexandria database.

Results
Electronic total energy = -60.1 eV per cell
Energy of formation = -0.02 eV per atom
Mass density = 7.35 Mg/m³
Energy above the lowest structure with this stoichiometry = 0 meV/atom

Unit cell a=4.9419 b=4.9419 c=17.8598 alpha=90.00 beta=90.00 gamma=90.00
Space group I-42d (No. 122)
Symmetry-distinct sites (fractional):
1 Rb 0.0000 0.0000 0.0000 (multiplicity 4)
2 Li 0.0000 0.0000 0.5000 (multiplicity 4)
3 Pt 0.0544 0.7500 0.6250 (multiplicity 8)

---

Please write out number 2 again, unchanged.
The following is a GGA-PBE calculation of crystalline RbLiPt2 at its relaxed geometry, from the Alexandria database.

Results
Electronic total energy = -60.1 eV per cell
Energy of formation = -0.02 eV per atom
Mass density = 7.35 Mg/m³
Energy above the lowest structure with this stoichiometry = 0 meV/atom

Unit cell a=4.9419 b=4.9419 c=17.8598 alpha=90.00 beta=90.00 gamma=90.00
Space group I-42d (No. 122)
Symmetry-distinct sites (fractional):
1 Rb 0.0000 0.0000 0.0000 (multiplicity 4)
2 Li 0.0000 0.0000 0.5000 (multiplicity 4)
3 Pt 0.0544 0.7500 0.6250 (multiplicity 8)

---

Question: What is the formula in the second record?
Answer: RbLiPt2